The following is a DFT calculation (SCAN) of a crystal of AlTlSi relaxed with PBEsol.

For the electronic total energy, the calculation gives -29.5740 eV/atom. As for the total magnetic moment: 0.0 μB/cell. The value obtained for the volume is 272.3 Å³/cell. The space-group type is F-43m (216). The density of states at the Fermi level is 0.173 states/eV/atom. Its raw formation energy is 468 meV/atom.

Cell lengths 6.482, 6.482, 6.482 Å; angles 90.00, 90.00, 90.00 degrees
Fractional coordinates of all 12 atoms:
Al: 0.000 0.000 0.000
Al: 0.000 0.500 0.500
Al: 0.500 0.000 0.500
Al: 0.500 0.500 0.000
Tl: 0.000 0.000 0.500
Tl: 0.000 0.500 0.000
Tl: 0.500 0.000 0.000
Tl: 0.500 0.500 0.500
Si: 0.250 0.250 0.750
Si: 0.250 0.750 0.250
Si: 0.750 0.250 0.250
Si: 0.750 0.750 0.750



The following is a DFT calculation (SCAN) of a crystal of Al2TlSi relaxed with PBEsol.

For the electronic total energy, the calculation gives -24.1092 eV/atom. As for the total magnetic moment: 0.0 μB/cell. The value obtained for the volume is 231.9 Å³/cell. The space-group type is R-3m (166). The density of states at the Fermi level is 0.413 states/eV/atom. Its raw formation energy is 360 meV/atom. The value obtained for the distance to the lowest polymorph of the same formula is 0.009 eV per atom.

Cell lengths 3.072, 3.072, 28.367 Å; angles 90.00, 90.00, 120.00 degrees
Fractional coordinates of all 12 atoms:
Al: 0.000 0.000 0.238
Al: 0.000 0.000 0.762
Al: 0.333 0.667 0.429
Al: 0.333 0.667 0.905
Al: 0.667 0.333 0.095
Al: 0.667 0.333 0.571
Tl: 0.000 0.000 0.000
Tl: 0.333 0.667 0.667
Tl: 0.667 0.333 0.333
Si: 0.000 0.000 0.500
Si: 0.333 0.667 0.167
Si: 0.667 0.333 0.833



The following is a DFT calculation (SCAN) of a crystal of Al2TlSi relaxed with PBEsol.

For the electronic total energy, the calculation gives -24.1186 eV/atom. As for the total magnetic moment: 0.0 μB/cell. The value obtained for the volume is 78.5 Å³/cell. The space-group type is P4mm (99). The density of states at the Fermi level is 0.414 states/eV/atom. Its raw formation energy is 351 meV/atom. The value obtained for the distance to the lowest polymorph of the same formula is 0.000 eV per atom.

Cell lengths 3.177, 3.177, 7.784 Å; angles 90.00, 90.00, 90.00 degrees
Fractional coordinates of all 4 atoms:
Al: 0.000 0.000 0.000
Al: 0.500 0.500 0.214
Tl: 0.500 0.500 0.696
Si: 0.000 0.000 0.395



Please write out number 1 again, unchanged.
The following is a DFT calculation (SCAN) of a crystal of AlTlSi relaxed with PBEsol.

For the electronic total energy, the calculation gives -29.5740 eV/atom. As for the total magnetic moment: 0.0 μB/cell. The value obtained for the volume is 272.3 Å³/cell. The space-group type is F-43m (216). The density of states at the Fermi level is 0.173 states/eV/atom. Its raw formation energy is 468 meV/atom.

Cell lengths 6.482, 6.482, 6.482 Å; angles 90.00, 90.00, 90.00 degrees
Fractional coordinates of all 12 atoms:
Al: 0.000 0.000 0.000
Al: 0.000 0.500 0.500
Al: 0.500 0.000 0.500
Al: 0.500 0.500 0.000
Tl: 0.000 0.000 0.500
Tl: 0.000 0.500 0.000
Tl: 0.500 0.000 0.000
Tl: 0.500 0.500 0.500
Si: 0.250 0.250 0.750
Si: 0.250 0.750 0.250
Si: 0.750 0.250 0.250
Si: 0.750 0.750 0.750